The following is a PBE-GGA calculation of CaZr3O after structural relaxation, from Alexandria.

**Total magnetic moment**: 0.0 μB/cell
**Volume**: 129.3 Å³/cell
**Formation energy without anion corrections**: 2.03 eV/atom

```
data_CaZr3O
_space_group_name_H-M_alt 'P m -3 m'
_space_group_IT_number 221
_space_group_name_Hall '-P 4 2 3'
_cell_length_a 5.057
_cell_length_b 5.057
_cell_length_c 5.057
_cell_angle_alpha 90.00
_cell_angle_beta 90.00
_cell_angle_gamma 90.00
loop_
_atom_site_label
_atom_site_fract_x
_atom_site_fract_y
_atom_site_fract_z
_atom_site_occupancy
Ca1 0.000 0.000 0.000 1
Zr1 0.000 0.000 0.500 1
O1 0.500 0.500 0.500 1
```

The following is a PBE-GGA calculation of CaZr2O4 after structural relaxation, from Alexandria.

**Total magnetic moment**: 0.0 μB/cell
**Volume**: 364.2 Å³/cell
**Formation energy without anion corrections**: -2.93 eV/atom

```
data_CaZr2O4
_space_group_name_H-M_alt 'C m c m'
_space_group_IT_number 63
_space_group_name_Hall '-C 2c 2'
_cell_length_a 3.254
_cell_length_b 10.462
_cell_length_c 10.699
_cell_angle_alpha 90.00
_cell_angle_beta 90.00
_cell_angle_gamma 90.00
loop_
_atom_site_label
_atom_site_fract_x
_atom_site_fract_y
_atom_site_fract_z
_atom_site_occupancy
Ca1 0.000 0.120 0.250 1
Zr1 0.000 0.375 0.067 1
O1 0.000 0.000 0.000 1
O2 0.000 0.268 0.613 1
O3 0.000 0.456 0.250 1
```

The following is a PBE-GGA calculation of CaZr2O after structural relaxation, from Alexandria.

**Total magnetic moment**: 0.0 μB/cell
**Volume**: 260.7 Å³/cell
**Formation energy without anion corrections**: -0.91 eV/atom

```
data_CaZr2O
_space_group_name_H-M_alt 'R -3 m'
_space_group_IT_number 166
_space_group_name_Hall '-R 3 2"'
_cell_length_a 3.4358
_cell_length_b 3.4358
_cell_length_c 25.4993
_cell_angle_alpha 90.00
_cell_angle_beta 90.00
_cell_angle_gamma 120.00
loop_
_atom_site_label
_atom_site_fract_x
_atom_site_fract_y
_atom_site_fract_z
_atom_site_occupancy
Ca1 0.0000 0.0000 0.0000 1
Zr1 0.0000 0.0000 0.1226 1
O1 0.0000 0.0000 0.5000 1
```

The following is a PBE-GGA calculation of CaZr4O9 after structural relaxation, from Alexandria.

**Total magnetic moment**: 0.0 μB/cell
**Volume**: 721.8 Å³/cell
**Formation energy without anion corrections**: -3.23 eV/atom

```
data_CaZr4O9
_space_group_name_H-M_alt 'C 1 2/m 1'
_space_group_IT_number 12
_space_group_name_Hall '-C 2y'
_cell_length_a 33.280
_cell_length_b 3.514
_cell_length_c 6.176
_cell_angle_alpha 90.00
_cell_angle_beta 92.03
_cell_angle_gamma 90.00
loop_
_atom_site_label
_atom_site_fract_x
_atom_site_fract_y
_atom_site_fract_z
_atom_site_occupancy
Ca1 0.000 0.000 0.000 1
Ca2 0.000 0.500 0.500 1
Zr1 0.086 0.000 0.666 1
Zr2 0.105 0.500 0.171 1
Zr3 0.191 0.000 0.395 1
Zr4 0.207 0.500 0.882 1
O1 0.026 0.000 0.692 1
O2 0.067 0.500 0.435 1
O3 0.072 0.000 0.058 1
O4 0.109 0.500 0.813 1
O5 0.128 0.000 0.393 1
O6 0.168 0.500 0.156 1
O7 0.182 0.000 0.757 1
O8 0.215 0.500 0.521 1
O9 0.230 0.000 0.121 1
```